1.
# Nd2HoRh, relaxed, DFT GGA-PBE
data_Nd2HoRh
_chemical_formula_sum 'Nd2 Ho1 Rh1'
_space_group_name_H-M_alt 'P 4/m m m'
_space_group_IT_number 123
_space_group_name_Hall '-P 4 2'
_cell_length_a 3.614
_cell_length_b 3.614
_cell_length_c 8.689
_cell_angle_alpha 90.00
_cell_angle_beta 90.00
_cell_angle_gamma 90.00
loop_
_atom_site_label
_atom_site_type_symbol
_atom_site_fract_x
_atom_site_fract_y
_atom_site_fract_z
Nd1 Nd 0.000 0.000 0.193
Ho1 Ho 0.500 0.500 0.500
Rh1 Rh 0.500 0.500 0.000
# Relative energy among the computed polymorphs in meV per atom: 196
# DFT formation energy in meV per atom: -256

***

2.
# Cd2InSn, relaxed, DFT GGA-PBE
data_Cd2InSn
_chemical_formula_sum 'Cd2 In1 Sn1'
_space_group_name_H-M_alt 'P 4/m m m'
_space_group_IT_number 123
_space_group_name_Hall '-P 4 2'
_cell_length_a 3.745
_cell_length_b 3.745
_cell_length_c 7.334
_cell_angle_alpha 90.00
_cell_angle_beta 90.00
_cell_angle_gamma 90.00
loop_
_atom_site_label
_atom_site_type_symbol
_atom_site_fract_x
_atom_site_fract_y
_atom_site_fract_z
Cd1 Cd 0.000 0.000 0.246
In1 In 0.500 0.500 0.000
Sn1 Sn 0.500 0.500 0.500
# Relative energy among the computed polymorphs in meV per atom: 31
# DFT formation energy in meV per atom: 69

***

3.
# Mg2Tc, relaxed, DFT GGA-PBE
data_Mg2Tc
_chemical_formula_sum 'Mg8 Tc4'
_space_group_name_H-M_alt 'C 1 m 1'
_space_group_IT_number 8
_cell_length_a 10.243
_cell_length_b 3.236
_cell_length_c 7.044
_cell_angle_alpha 90.00
_cell_angle_beta 110.78
_cell_angle_gamma 90.00
loop_
_space_group_symop_operation_xyz
'x,y,z'
'x,-y,z'
'x+1/2,y+1/2,z'
'x+1/2,-y+1/2,z'
loop_
_atom_site_label
_atom_site_type_symbol
_atom_site_fract_x
_atom_site_fract_y
_atom_site_fract_z
Mg1 Mg 0.000 0.000 0.000
Mg2 Mg 0.000 0.000 0.499
Mg3 Mg 0.174 0.500 0.819
Mg4 Mg 0.325 0.000 0.180
Tc1 Tc 0.186 0.500 0.370
Tc2 Tc 0.315 0.000 0.631
# Relative energy among the computed polymorphs in meV per atom: 138
# DFT formation energy in meV per atom: 144

***

4.
# SrIBrN2, relaxed, DFT GGA-PBE
data_SrIBrN2
_chemical_formula_sum 'Sr1 I1 Br1 N2'
_space_group_name_H-M_alt 'P 4/m m m'
_space_group_IT_number 123
_space_group_name_Hall '-P 4 2'
_cell_length_a 5.076
_cell_length_b 5.076
_cell_length_c 6.665
_cell_angle_alpha 90.00
_cell_angle_beta 90.00
_cell_angle_gamma 90.00
loop_
_atom_site_label
_atom_site_type_symbol
_atom_site_fract_x
_atom_site_fract_y
_atom_site_fract_z
Sr1 Sr 0.000 0.000 0.000
I1 I 0.000 0.000 0.500
Br1 Br 0.500 0.500 0.500
N1 N 0.000 0.500 0.000
# Relative energy among the computed polymorphs in meV per atom: 0
# Raw formation energy in eV/atom: 1.1150

***

5.
# La2TlPt, relaxed, DFT GGA-PBE
data_La2TlPt
_chemical_formula_sum 'La8 Tl4 Pt4'
_space_group_name_H-M_alt 'F -4 3 m'
_space_group_IT_number 216
_space_group_name_Hall 'F -4 2 3'
_cell_length_a 7.370
_cell_length_b 7.370
_cell_length_c 7.370
_cell_angle_alpha 90.00
_cell_angle_beta 90.00
_cell_angle_gamma 90.00
loop_
_atom_site_label
_atom_site_type_symbol
_atom_site_fract_x
_atom_site_fract_y
_atom_site_fract_z
La1 La 0.000 0.000 0.000
La2 La 0.250 0.250 0.250
Tl1 Tl 0.000 0.000 0.500
Pt1 Pt 0.250 0.250 0.750
# Relative energy among the computed polymorphs in meV per atom: 362
# DFT formation energy in meV per atom: -426

***

6.
# Mg2AlAu, relaxed, DFT GGA-PBE
data_Mg2AlAu
_chemical_formula_sum 'Mg6 Al3 Au3'
_space_group_name_H-M_alt 'R -3 m'
_space_group_IT_number 166
_space_group_name_Hall '-R 3 2"'
_cell_length_a 3.1352
_cell_length_b 3.1352
_cell_length_c 27.3255
_cell_angle_alpha 90.00
_cell_angle_beta 90.00
_cell_angle_gamma 120.00
loop_
_atom_site_label
_atom_site_type_symbol
_atom_site_fract_x
_atom_site_fract_y
_atom_site_fract_z
Mg1 Mg 0.0000 0.0000 0.2455
Al1 Al 0.0000 0.0000 0.0000
Au1 Au 0.0000 0.0000 0.5000
# DFT formation energy in meV per atom: -199

***

7.
# Cs2LiTa2, relaxed, DFT GGA-PBE
data_Cs2LiTa2
_chemical_formula_sum 'Cs4 Li2 Ta4'
_space_group_name_H-M_alt 'P 4/m b m'
_space_group_IT_number 127
_space_group_name_Hall '-P 4 2ab'
_cell_length_a 11.630
_cell_length_b 11.630
_cell_length_c 3.284
_cell_angle_alpha 90.00
_cell_angle_beta 90.00
_cell_angle_gamma 90.00
loop_
_atom_site_label
_atom_site_type_symbol
_atom_site_fract_x
_atom_site_fract_y
_atom_site_fract_z
Cs1 Cs 0.211 0.289 0.000
Li1 Li 0.000 0.000 0.500
Ta1 Ta 0.070 0.570 0.500
# Relative energy among the computed polymorphs in meV per atom: 0
# DFT formation energy in meV per atom: 1569

***

8.
# Ac3Sm2DyTe6, relaxed, DFT GGA-PBE
data_Ac3Sm2DyTe6
_chemical_formula_sum 'Ac6 Sm4 Dy2 Te12'
_space_group_name_H-M_alt 'C 1 2/m 1'
_space_group_IT_number 12
_cell_length_a 20.115
_cell_length_b 4.503
_cell_length_c 9.293
_cell_angle_alpha 90.00
_cell_angle_beta 105.56
_cell_angle_gamma 90.00
loop_
_space_group_symop_operation_xyz
'x,y,z'
'-x,-y,-z'
'-x,y,-z'
'x,-y,z'
'x+1/2,y+1/2,z'
'-x+1/2,-y+1/2,-z'
'-x+1/2,y+1/2,-z'
'x+1/2,-y+1/2,z'
loop_
_atom_site_label
_atom_site_type_symbol
_atom_site_fract_x
_atom_site_fract_y
_atom_site_fract_z
Ac1 Ac 0.000 0.000 0.000
Ac2 Ac 0.169 0.500 0.334
Sm1 Sm 0.168 0.500 0.835
Dy1 Dy 0.000 0.000 0.500
Te1 Te 0.004 0.500 0.734
Te2 Te 0.159 0.000 0.593
Te3 Te 0.170 0.000 0.072
# Raw formation energy in eV/atom: -1.4156

***

9.
# Sm2ErC2, relaxed, DFT GGA-PBE
data_Sm2ErC2
_chemical_formula_sum 'Sm8 Er4 C8'
_space_group_name_H-M_alt 'C 1 2/m 1'
_space_group_IT_number 12
_cell_length_a 11.675
_cell_length_b 5.278
_cell_length_c 7.375
_cell_angle_alpha 90.00
_cell_angle_beta 110.97
_cell_angle_gamma 90.00
loop_
_space_group_symop_operation_xyz
'x,y,z'
'-x,-y,-z'
'-x,y,-z'
'x,-y,z'
'x+1/2,y+1/2,z'
'-x+1/2,-y+1/2,-z'
'-x+1/2,y+1/2,-z'
'x+1/2,-y+1/2,z'
loop_
_atom_site_label
_atom_site_type_symbol
_atom_site_fract_x
_atom_site_fract_y
_atom_site_fract_z
Sm1 Sm 0.008 0.000 0.235
Sm2 Sm 0.165 0.500 0.075
Er1 Er 0.154 0.500 0.596
C1 C 0.001 0.500 0.736
C2 C 0.168 0.000 0.095
# DFT formation energy in meV per atom: -106

***

10.
# AcNdNbN3, relaxed, DFT GGA-PBE
data_AcNdNbN3
_chemical_formula_sum 'Ac2 Nd2 Nb2 N6'
_space_group_name_H-M_alt 'P 1 21/m 1'
_space_group_IT_number 11
_cell_length_a 7.922
_cell_length_b 3.657
_cell_length_c 8.093
_cell_angle_alpha 90.00
_cell_angle_beta 97.37
_cell_angle_gamma 90.00
loop_
_space_group_symop_operation_xyz
'x,y,z'
'-x,-y,-z'
'-x,y+1/2,-z'
'x,-y+1/2,z'
loop_
_atom_site_label
_atom_site_type_symbol
_atom_site_fract_x
_atom_site_fract_y
_atom_site_fract_z
Ac1 Ac 0.173 0.250 0.175
Nd1 Nd 0.168 0.250 0.615
Nb1 Nb 0.402 0.750 0.894
N1 N 0.128 0.750 0.397
N2 N 0.155 0.750 0.884
N3 N 0.492 0.750 0.161
# Raw formation energy in eV/atom: -0.9697

***

11.
# ScFe2SiN, relaxed, DFT GGA-PBE
data_ScFe2SiN
_chemical_formula_sum 'Sc1 Fe2 Si1 N1'
_space_group_name_H-M_alt 'P 4/m m m'
_space_group_IT_number 123
_space_group_name_Hall '-P 4 2'
_cell_length_a 3.766
_cell_length_b 3.766
_cell_length_c 4.265
_cell_angle_alpha 90.00
_cell_angle_beta 90.00
_cell_angle_gamma 90.00
loop_
_atom_site_label
_atom_site_type_symbol
_atom_site_fract_x
_atom_site_fract_y
_atom_site_fract_z
Sc1 Sc 0.000 0.000 0.000
Fe1 Fe 0.000 0.500 0.500
Si1 Si 0.500 0.500 0.000
N1 N 0.000 0.000 0.500
# Raw formation energy in eV/atom: -0.3322

***

12.
# Sr2PtPb, relaxed, DFT GGA-PBE
data_Sr2PtPb
_chemical_formula_sum 'Sr4 Pt2 Pb2'
_space_group_name_H-M_alt 'I 4/m m m'
_space_group_IT_number 139
_space_group_name_Hall '-I 4 2'
_cell_length_a 5.174
_cell_length_b 5.174
_cell_length_c 8.701
_cell_angle_alpha 90.00
_cell_angle_beta 90.00
_cell_angle_gamma 90.00
loop_
_atom_site_label
_atom_site_type_symbol
_atom_site_fract_x
_atom_site_fract_y
_atom_site_fract_z
Sr1 Sr 0.000 0.500 0.250
Pt1 Pt 0.000 0.000 0.000
Pb1 Pb 0.000 0.000 0.500
# DFT formation energy in meV per atom: -508

***

13.
# BiH2Au2, relaxed, DFT GGA-PBE
data_BiH2Au2
_chemical_formula_sum 'Bi2 H4 Au4'
_space_group_name_H-M_alt 'I 4/m m m'
_space_group_IT_number 139
_space_group_name_Hall '-I 4 2'
_cell_length_a 3.432
_cell_length_b 3.432
_cell_length_c 12.840
_cell_angle_alpha 90.00
_cell_angle_beta 90.00
_cell_angle_gamma 90.00
loop_
_atom_site_label
_atom_site_type_symbol
_atom_site_fract_x
_atom_site_fract_y
_atom_site_fract_z
Bi1 Bi 0.000 0.000 0.000
H1 H 0.000 0.500 0.250
Au1 Au 0.000 0.000 0.337
# Relative energy among the computed polymorphs in meV per atom: 115

***

14.
# La4MgTl3, relaxed, DFT GGA-PBE
data_La4MgTl3
_chemical_formula_sum 'La8 Mg2 Tl6'
_space_group_name_H-M_alt 'I 4/m m m'
_space_group_IT_number 139
_space_group_name_Hall '-I 4 2'
_cell_length_a 5.582
_cell_length_b 5.582
_cell_length_c 16.165
_cell_angle_alpha 90.00
_cell_angle_beta 90.00
_cell_angle_gamma 90.00
loop_
_atom_site_label
_atom_site_type_symbol
_atom_site_fract_x
_atom_site_fract_y
_atom_site_fract_z
La1 La 0.000 0.500 0.125
Mg1 Mg 0.000 0.000 0.000
Tl1 Tl 0.000 0.000 0.247
Tl2 Tl 0.000 0.000 0.500
# DFT formation energy in meV per atom: -350

***

15.
# Cs2Dy2BiS6, relaxed, DFT GGA-PBE
data_Cs2Dy2BiS6
_chemical_formula_sum 'Cs4 Dy4 Bi2 S12'
_space_group_name_H-M_alt 'C 1 2/m 1'
_space_group_IT_number 12
_cell_length_a 6.988
_cell_length_b 12.124
_cell_length_c 8.638
_cell_angle_alpha 90.00
_cell_angle_beta 105.68
_cell_angle_gamma 90.00
loop_
_space_group_symop_operation_xyz
'x,y,z'
'-x,-y,-z'
'-x,y,-z'
'x,-y,z'
'x+1/2,y+1/2,z'
'-x+1/2,-y+1/2,-z'
'-x+1/2,y+1/2,-z'
'x+1/2,-y+1/2,z'
loop_
_atom_site_label
_atom_site_type_symbol
_atom_site_fract_x
_atom_site_fract_y
_atom_site_fract_z
Cs1 Cs 0.000 0.166 0.000
Dy1 Dy 0.000 0.333 0.500
Bi1 Bi 0.000 0.000 0.500
S1 S 0.226 0.500 0.679
S2 S 0.228 0.168 0.680
# Raw formation energy in eV/atom: -1.3753

***

16.
# CaLaRuO6, relaxed, DFT GGA-PBE
data_CaLaRuO6
_chemical_formula_sum 'Ca1 La1 Ru1 O6'
_space_group_name_H-M_alt 'P 3 1 2'
_space_group_IT_number 149
_cell_length_a 5.5531
_cell_length_b 5.5531
_cell_length_c 5.0039
_cell_angle_alpha 90.00
_cell_angle_beta 90.00
_cell_angle_gamma 120.00
loop_
_space_group_symop_operation_xyz
'x,y,z'
'-y,x-y,z'
'-x+y,-x,z'
'-y,-x,-z'
'-x+y,y,-z'
'x,x-y,-z'
loop_
_atom_site_label
_atom_site_type_symbol
_atom_site_fract_x
_atom_site_fract_y
_atom_site_fract_z
Ca1 Ca 0.0000 0.0000 0.0000
La1 La 0.6667 0.3333 0.5000
Ru1 Ru 0.3333 0.6667 0.0000
O1 O 0.0479 0.3867 0.2192
# Raw formation energy in eV/atom: -1.9468

***

17.
# PaCdAgSn, relaxed, DFT GGA-PBE
data_PaCdAgSn
_chemical_formula_sum 'Pa4 Cd4 Ag4 Sn4'
_space_group_name_H-M_alt 'F -4 3 m'
_space_group_IT_number 216
_space_group_name_Hall 'F -4 2 3'
_cell_length_a 7.221
_cell_length_b 7.221
_cell_length_c 7.221
_cell_angle_alpha 90.00
_cell_angle_beta 90.00
_cell_angle_gamma 90.00
loop_
_atom_site_label
_atom_site_type_symbol
_atom_site_fract_x
_atom_site_fract_y
_atom_site_fract_z
Pa1 Pa 0.000 0.000 0.000
Cd1 Cd 0.000 0.000 0.500
Ag1 Ag 0.250 0.250 0.250
Sn1 Sn 0.250 0.250 0.750
# DFT formation energy in meV per atom: 78

***

18.
# Zn2ReCl, relaxed, DFT GGA-PBE
data_Zn2ReCl
_chemical_formula_sum 'Zn4 Re2 Cl2'
_space_group_name_H-M_alt 'C m m m'
_space_group_IT_number 65
_space_group_name_Hall '-C 2 2'
_cell_length_a 3.348
_cell_length_b 4.737
_cell_length_c 8.111
_cell_angle_alpha 90.00
_cell_angle_beta 90.00
_cell_angle_gamma 90.00
loop_
_atom_site_label
_atom_site_type_symbol
_atom_site_fract_x
_atom_site_fract_y
_atom_site_fract_z
Zn1 Zn 0.000 0.000 0.242
Re1 Re 0.000 0.500 0.000
Cl1 Cl 0.000 0.500 0.500
# Relative energy among the computed polymorphs in meV per atom: 92
# Raw formation energy in eV/atom: 0.2521

***

19.
# Cs6Rb2HgPt, relaxed, DFT GGA-PBE
data_Cs6Rb2HgPt
_chemical_formula_sum 'Cs12 Rb4 Hg2 Pt2'
_space_group_name_H-M_alt 'C 1 m 1'
_space_group_IT_number 8
_cell_length_a 14.692
_cell_length_b 14.706
_cell_length_c 10.389
_cell_angle_alpha 90.00
_cell_angle_beta 134.91
_cell_angle_gamma 90.00
loop_
_space_group_symop_operation_xyz
'x,y,z'
'x,-y,z'
'x+1/2,y+1/2,z'
'x+1/2,-y+1/2,z'
loop_
_atom_site_label
_atom_site_type_symbol
_atom_site_fract_x
_atom_site_fract_y
_atom_site_fract_z
Cs1 Cs 0.000 0.000 0.000
Cs2 Cs 0.000 0.000 0.461
Cs3 Cs 0.230 0.230 0.461
Cs4 Cs 0.460 0.000 0.921
Cs5 Cs 0.461 0.000 0.460
Rb1 Rb 0.229 0.251 0.961
Hg1 Hg 0.231 0.500 0.461
Pt1 Pt 0.231 0.000 0.461
# DFT formation energy in meV per atom: -45